A.
First-principles (GGA-PBE) data for a relaxed PmAgAu crystal, as listed in Alexandria via LeMat-Bulk.

The structure belongs to space group I4mm (No. 107); the cell edges are 3.834, 3.834 and 9.316 Å and the angles 90.00°, 90.00° and 90.00°. The distinct sites, in fractional coordinates, are Pm at (0.000, 0.000, 0.000), Ag at (0.000, 0.000, 0.326) and Au at (0.000, 0.000, 0.661).

For the density, the calculation gives 10.9 g cm⁻³. The size of the total moment comes out at 0.00 μB per formula unit. The crystal system is tetragonal.

=====

B.
First-principles (GGA-PBE) data for a relaxed PmAgAu crystal, as listed in Alexandria via LeMat-Bulk.

The structure belongs to space group F-43m (No. 216); the cell edges are 6.818, 6.818 and 6.818 Å and the angles 90.00°, 90.00° and 90.00°. The distinct sites, in fractional coordinates, are Pm at (0.000, 0.000, 0.000), Ag at (0.000, 0.000, 0.500) and Au at (0.250, 0.250, 0.250).

For the density, the calculation gives 9.4 g cm⁻³. The size of the total moment comes out at 0.00 μB per formula unit. The crystal system is cubic.

=====

Energy comparison, zero being the most stable, in meV/atom: A 0; B 120.

=====

A.
First-principles (GGA-PBE) data for a relaxed PmAgAu crystal, as listed in Alexandria via LeMat-Bulk.

The structure belongs to space group P6_3/mmc (No. 194); the cell edges are 5.3420, 5.3420 and 5.8605 Å and the angles 90.00°, 90.00° and 120.00°. The distinct sites, in fractional coordinates, are Pm at (0.3333, 0.6667, 0.2500), Ag at (0.0000, 0.0000, 0.2500) and Au at (0.3333, 0.6667, 0.7500).

For the density, the calculation gives 10.3 g cm⁻³. The size of the total moment comes out at 0.00 μB per formula unit. The crystal system is hexagonal.

=====

B.
First-principles (GGA-PBE) data for a relaxed PmAgAu crystal, as listed in Alexandria via LeMat-Bulk.

The structure belongs to space group P2_1/m (No. 11); the cell edges are 3.813, 4.016 and 9.194 Å and the angles 90.00°, 95.56° and 90.00°. The distinct sites, in fractional coordinates, are Pm at (0.194, 0.250, 0.236), Ag at (0.265, 0.250, 0.573) and Au at (0.344, 0.250, 0.900).

For the density, the calculation gives 10.7 g cm⁻³. The size of the total moment comes out at 0.00 μB per formula unit. The crystal system is monoclinic.

=====

Energy comparison, zero being the most stable, in meV/atom: A 109; B 0.

=====

A.
First-principles (GGA-PBE) data for a relaxed Pm3Ag5Au2 crystal, as listed in Alexandria via LeMat-Bulk.

The structure belongs to space group Ibam (No. 72); the cell edges are 11.671, 13.603 and 5.946 Å and the angles 90.00°, 90.00° and 90.00°. The distinct sites, in fractional coordinates, are Pm at (0.000, 0.000, 0.250), Pm at (0.120, 0.259, 0.000), Ag at (0.000, 0.500, 0.250), Ag at (0.129, 0.358, 0.500), Ag at (0.246, 0.500, 0.250) and Au at (0.132, 0.157, 0.500).

For the density, the calculation gives 9.6 g cm⁻³. The size of the total moment comes out at 0.00 μB per formula unit. The crystal system is orthorhombic.

=====

B.
First-principles (GGA-PBE) data for a relaxed Pm3Ag5Au2 crystal, as listed in Alexandria via LeMat-Bulk.

The structure belongs to space group P-1 (No. 2); the cell edges are 8.209, 8.283 and 8.573 Å and the angles 116.47°, 93.29° and 115.11°. The distinct sites, in fractional coordinates, are Pm at (0.220, 0.324, 0.381), Pm at (0.248, 0.633, 0.123), Pm at (0.276, 0.117, 0.871), Ag at (0.012, 0.173, 0.653), Ag at (0.130, 0.591, 0.750), Ag at (0.218, 0.742, 0.516), Ag at (0.401, 0.112, 0.500), Ag at (0.481, 0.120, 0.183), Au at (0.058, 0.862, 0.036) and Au at (0.438, 0.482, 0.792).

For the density, the calculation gives 10.1 g cm⁻³. The size of the total moment comes out at 0.00 μB per formula unit. The crystal system is triclinic.

=====

Energy comparison, zero being the most stable, in meV/atom: A 127; B 0.

=====

A.
First-principles (GGA-PBE) data for a relaxed PmAg2Au crystal, as listed in Alexandria via LeMat-Bulk.

The structure belongs to space group P2_1/m (No. 11); the cell edges are 4.397, 7.879 and 5.584 Å and the angles 90.00°, 113.15° and 90.00°. The distinct sites, in fractional coordinates, are Pm at (0.072, 0.250, 0.143), Ag at (0.370, 0.056, 0.740) and Au at (0.222, 0.750, 0.445).

For the density, the calculation gives 10.4 g cm⁻³. The size of the total moment comes out at 0.00 μB per formula unit. The crystal system is monoclinic.

=====

B.
First-principles (GGA-PBE) data for a relaxed PmAg2Au crystal, as listed in Alexandria via LeMat-Bulk.

The structure belongs to space group P-3m1 (No. 164); the cell edges are 4.6968, 4.6968 and 10.1725 Å and the angles 90.00°, 90.00° and 120.00°. The distinct sites, in fractional coordinates, are Pm at (0.0000, 0.0000, 0.1960), Ag at (0.3333, 0.6667, 0.4088), Ag at (0.3333, 0.6667, 0.9791) and Au at (0.3333, 0.6667, 0.6836).

For the density, the calculation gives 9.5 g cm⁻³. The size of the total moment comes out at 0.00 μB per formula unit. The crystal system is trigonal.

=====

Energy comparison, zero being the most stable, in meV/atom: A 0; B 110.

=====

A.
First-principles (GGA-PBE) data for a relaxed PmAg2Au crystal, as listed in Alexandria via LeMat-Bulk.

The structure belongs to space group Fm-3m (No. 225); the cell edges are 7.005, 7.005 and 7.005 Å and the angles 90.00°, 90.00° and 90.00°. The distinct sites, in fractional coordinates, are Pm at (0.000, 0.000, 0.000), Ag at (0.250, 0.250, 0.250) and Au at (0.000, 0.000, 0.500).

For the density, the calculation gives 10.8 g cm⁻³. The size of the total moment comes out at 0.00 μB per formula unit. The crystal system is cubic.

=====

B.
First-principles (GGA-PBE) data for a relaxed PmAg2Au crystal, as listed in Alexandria via LeMat-Bulk.

The structure belongs to space group P4/mmm (No. 123); the cell edges are 4.293, 4.293 and 4.832 Å and the angles 90.00°, 90.00° and 90.00°. The distinct sites, in fractional coordinates, are Pm at (0.000, 0.000, 0.000), Ag at (0.000, 0.500, 0.500) and Au at (0.500, 0.500, 0.000).

For the density, the calculation gives 10.4 g cm⁻³. The size of the total moment comes out at 0.00 μB per formula unit. The crystal system is tetragonal.

=====

Energy comparison, zero being the most stable, in meV/atom: A 0; B 66.

=====

A.
First-principles (GGA-PBE) data for a relaxed Pm4Ag3Au crystal, as listed in Alexandria via LeMat-Bulk.

The structure belongs to space group P4/mmm (No. 123); the cell edges are 3.718, 3.718 and 14.885 Å and the angles 90.00°, 90.00° and 90.00°. The distinct sites, in fractional coordinates, are Pm at (0.000, 0.000, 0.121), Pm at (0.000, 0.000, 0.374), Ag at (0.500, 0.500, 0.250), Ag at (0.500, 0.500, 0.500) and Au at (0.500, 0.500, 0.000).

For the density, the calculation gives 8.9 g cm⁻³. The size of the total moment comes out at 0.00 μB per formula unit. The crystal system is tetragonal.

=====

B.
First-principles (GGA-PBE) data for a relaxed Pm4Ag3Au crystal, as listed in Alexandria via LeMat-Bulk.

The structure belongs to space group Pmm2 (No. 25); the cell edges are 3.872, 4.880 and 11.234 Å and the angles 90.00°, 90.00° and 90.00°. The distinct sites, in fractional coordinates, are Pm at (0.000, 0.000, 0.000), Pm at (0.000, 0.500, 0.276), Pm at (0.500, 0.000, 0.493), Pm at (0.500, 0.500, 0.778), Ag at (0.000, 0.000, 0.715), Ag at (0.000, 0.500, 0.558), Ag at (0.500, 0.500, 0.057) and Au at (0.500, 0.000, 0.218).

For the density, the calculation gives 8.6 g cm⁻³. The size of the total moment comes out at 0.00 μB per formula unit. The crystal system is orthorhombic.

=====

Energy comparison, zero being the most stable, in meV/atom: A 0; B 9.

=====

A.
First-principles (GGA-PBE) data for a relaxed Pm3AgAu crystal, as listed in Alexandria via LeMat-Bulk.

The structure belongs to space group Cmcm (No. 63); the cell edges are 5.222, 20.149 and 5.228 Å and the angles 90.00°, 90.00° and 90.00°. The distinct sites, in fractional coordinates, are Pm at (0.000, 0.064, 0.250), Pm at (0.000, 0.250, 0.250), Pm at (0.000, 0.434, 0.250), Ag at (0.000, 0.157, 0.750) and Au at (0.000, 0.340, 0.750).

For the density, the calculation gives 8.9 g cm⁻³. The size of the total moment comes out at 0.00 μB per formula unit. The crystal system is orthorhombic.

=====

B.
First-principles (GGA-PBE) data for a relaxed Pm3AgAu crystal, as listed in Alexandria via LeMat-Bulk.

The structure belongs to space group C2/c (No. 15); the cell edges are 15.505, 10.622 and 7.294 Å and the angles 90.00°, 100.98° and 90.00°. The distinct sites, in fractional coordinates, are Pm at (0.075, 0.190, 0.485), Pm at (0.122, 0.485, 0.063), Pm at (0.166, 0.128, 0.034), Ag at (0.236, 0.334, 0.344), Au at (0.000, 0.026, 0.750) and Au at (0.000, 0.353, 0.750).

For the density, the calculation gives 8.3 g cm⁻³. The size of the total moment comes out at 0.00 μB per formula unit. The crystal system is monoclinic.

=====

Energy comparison, zero being the most stable, in meV/atom: A 0; B 113.

=====

A.
First-principles (GGA-PBE) data for a relaxed PmPrAgAu crystal, as listed in Alexandria via LeMat-Bulk.

The structure belongs to space group F-43m (No. 216); the cell edges are 7.468, 7.468 and 7.468 Å and the angles 90.00°, 90.00° and 90.00°. The distinct sites, in fractional coordinates, are Pm at (0.000, 0.000, 0.000), Pr at (0.000, 0.000, 0.500), Ag at (0.250, 0.250, 0.750) and Au at (0.250, 0.250, 0.250).

For the density, the calculation gives 9.4 g cm⁻³. The size of the total moment comes out at 0.00 μB per formula unit. The crystal system is cubic.

=====

B.
First-principles (GGA-PBE) data for a relaxed PmPrAgAu crystal, as listed in Alexandria via LeMat-Bulk.

The structure belongs to space group P4mm (No. 99); the cell edges are 3.729, 3.729 and 7.497 Å and the angles 90.00°, 90.00° and 90.00°. The distinct sites, in fractional coordinates, are Pm at (0.000, 0.000, 0.000), Pr at (0.000, 0.000, 0.489), Ag at (0.500, 0.500, 0.753) and Au at (0.500, 0.500, 0.233).

For the density, the calculation gives 9.4 g cm⁻³. The size of the total moment comes out at 0.00 μB per formula unit. The crystal system is tetragonal.

=====

Energy comparison, zero being the most stable, in meV/atom: A 12; B 0.

=====

A.
First-principles (GGA-PBE) data for a relaxed PmSmAgAu crystal, as listed in Alexandria via LeMat-Bulk.

The structure belongs to space group F-43m (No. 216); the cell edges are 7.398, 7.398 and 7.398 Å and the angles 90.00°, 90.00° and 90.00°. The distinct sites, in fractional coordinates, are Pm at (0.000, 0.000, 0.000), Sm at (0.000, 0.000, 0.500), Ag at (0.250, 0.250, 0.250) and Au at (0.250, 0.250, 0.750).

For the density, the calculation gives 9.8 g cm⁻³. The size of the total moment comes out at 0.00 μB per formula unit. The crystal system is cubic.

=====

B.
First-principles (GGA-PBE) data for a relaxed PmSmAgAu crystal, as listed in Alexandria via LeMat-Bulk.

The structure belongs to space group P4mm (No. 99); the cell edges are 3.693, 3.693 and 7.422 Å and the angles 90.00°, 90.00° and 90.00°. The distinct sites, in fractional coordinates, are Pm at (0.000, 0.000, 0.000), Sm at (0.000, 0.000, 0.511), Ag at (0.500, 0.500, 0.259) and Au at (0.500, 0.500, 0.751).

For the density, the calculation gives 9.8 g cm⁻³. The size of the total moment comes out at 0.00 μB per formula unit. The crystal system is tetragonal.

=====

Energy comparison, zero being the most stable, in meV/atom: A 9; B 0.

=====

A.
First-principles (GGA-PBE) data for a relaxed TbPmAgAu crystal, as listed in Alexandria via LeMat-Bulk.

The structure belongs to space group F-43m (No. 216); the cell edges are 7.341, 7.341 and 7.341 Å and the angles 90.00°, 90.00° and 90.00°. The distinct sites, in fractional coordinates, are Tb at (0.000, 0.000, 0.000), Pm at (0.000, 0.000, 0.500), Ag at (0.250, 0.250, 0.250) and Au at (0.250, 0.250, 0.750).

For the density, the calculation gives 10.2 g cm⁻³. The size of the total moment comes out at 0.00 μB per formula unit. The crystal system is cubic.

=====

B.
First-principles (GGA-PBE) data for a relaxed TbPmAgAu crystal, as listed in Alexandria via LeMat-Bulk.

The structure belongs to space group P4mm (No. 99); the cell edges are 3.647, 3.647 and 7.428 Å and the angles 90.00°, 90.00° and 90.00°. The distinct sites, in fractional coordinates, are Tb at (0.000, 0.000, 0.000), Pm at (0.000, 0.000, 0.489), Ag at (0.500, 0.500, 0.758) and Au at (0.500, 0.500, 0.228).

For the density, the calculation gives 10.2 g cm⁻³. The size of the total moment comes out at 0.00 μB per formula unit. The crystal system is tetragonal.

=====

Energy comparison, zero being the most stable, in meV/atom: A 13; B 0.

=====

A.
First-principles (GGA-PBE) data for a relaxed PrAgAu4 crystal, as listed in Alexandria via LeMat-Bulk.

The structure belongs to space group F-43m (No. 216); the cell edges are 7.922, 7.922 and 7.922 Å and the angles 90.00°, 90.00° and 90.00°. The distinct sites, in fractional coordinates, are Pr at (0.000, 0.000, 0.000), Ag at (0.250, 0.250, 0.250) and Au at (0.124, 0.124, 0.624).

For the density, the calculation gives 13.9 g cm⁻³. The size of the total moment comes out at 0.00 μB per formula unit. The crystal system is cubic.

=====

B.
First-principles (GGA-PBE) data for a relaxed PrAgAu4 crystal, as listed in Alexandria via LeMat-Bulk.

The structure belongs to space group C2/m (No. 12); the cell edges are 13.677, 7.208 and 5.550 Å and the angles 90.00°, 110.68° and 90.00°. The distinct sites, in fractional coordinates, are Pr at (0.213, 0.000, 0.150), Ag at (0.032, 0.500, 0.760), Au at (0.000, 0.188, 0.000), Au at (0.117, 0.198, 0.570) and Au at (0.184, 0.500, 0.260).

For the density, the calculation gives 13.4 g cm⁻³. The size of the total moment comes out at 0.00 μB per formula unit. The crystal system is monoclinic.

=====

Energy comparison, zero being the most stable, in meV/atom: A 0; B 41.

=====

A.
First-principles (GGA-PBE) data for a relaxed Pr3AgAu crystal, as listed in Alexandria via LeMat-Bulk.

The structure belongs to space group Cmcm (No. 63); the cell edges are 5.309, 20.345 and 5.317 Å and the angles 90.00°, 90.00° and 90.00°. The distinct sites, in fractional coordinates, are Pr at (0.000, 0.065, 0.250), Pr at (0.000, 0.249, 0.250), Pr at (0.000, 0.434, 0.250), Ag at (0.000, 0.157, 0.750) and Au at (0.000, 0.340, 0.750).

For the density, the calculation gives 8.4 g cm⁻³. The size of the total moment comes out at 0.00 μB per formula unit. The crystal system is orthorhombic.

=====

B.
First-principles (GGA-PBE) data for a relaxed Pr3AgAu crystal, as listed in Alexandria via LeMat-Bulk.

The structure belongs to space group C2/c (No. 15); the cell edges are 16.737, 11.986 and 6.263 Å and the angles 90.00°, 109.32° and 90.00°. The distinct sites, in fractional coordinates, are Pr at (0.098, 0.231, 0.462), Pr at (0.099, 0.068, 0.953), Pr at (0.182, 0.393, 0.085), Ag at (0.000, 0.312, 0.750), Ag at (0.000, 0.456, 0.250) and Au at (0.247, 0.132, 0.353).

For the density, the calculation gives 8.2 g cm⁻³. The size of the total moment comes out at 0.00 μB per formula unit. The crystal system is monoclinic.

=====

Energy comparison, zero being the most stable, in meV/atom: A 0; B 111.